## Mg3Si2 (GGA-PBE)

Data for crystalline Mg3Si2 at its relaxed geometry.

Results
Total moment ... 0.00 μB per formula unit
Space-group type ... P-1
Density ... 2.17 g/cm³
Formation energy (no corrections) ... -0.012 eV per atom

Cell lengths 5.2614, 5.6262, 7.1146 Å; angles 92.75, 97.51, 108.20 degrees
Closest atoms and distances in Å follow each position.
Positions (direct):
Si (0.2056, 0.6685, 0.5658)  2 Si 2.39-2.43
Si (0.0823, 0.8816, 0.8206)  1 Si 2.39
Si (0.7944, 0.3315, 0.4342)  2 Si 2.39-2.43
Mg (0.9194, 0.3190, 0.8215)  5 Si 2.76-3.01, 1 Mg 3.03
Mg (0.0806, 0.6810, 0.1785)  5 Si 2.76-3.01, 1 Mg 3.03
Mg (0.6999, 0.7969, 0.4566)  6 Si 2.70-2.99
Mg (0.5605, 0.7457, 0.9116)  4 Si 2.78-2.86, 1 Mg 3.01
Si (0.9177, 0.1184, 0.1794)  1 Si 2.39
Mg (0.4395, 0.2543, 0.0884)  4 Si 2.78-2.86, 1 Mg 3.01
Mg (0.3001, 0.2031, 0.5434)  6 Si 2.70-2.99

***

## Mg3Si2 (GGA-PBE)

Data for crystalline Mg3Si2 at its relaxed geometry.

Results
Total moment ... 0.00 μB per formula unit
Space-group type ... P-1
Density ... 2.08 g/cm³
Formation energy (no corrections) ... 0.053 eV per atom

Cell lengths 4.4596, 5.4047, 9.0233 Å; angles 100.13, 91.35, 104.88 degrees
Closest atoms and distances in Å follow each position.
Positions (direct):
Si (0.2425, 0.0135, 0.2245)  1 Si 2.47, 1 Mg 2.77
Si (0.6052, 0.3709, 0.4024)  2 Si 2.41-2.47, 1 Mg 2.66
Mg (0.3373, 0.1976, 0.9553)  3 Si 2.78-2.87, 2 Mg 3.03-3.08
Mg (0.6627, 0.8024, 0.0447)  3 Si 2.78-2.87, 2 Mg 3.03-3.08
Si (0.3948, 0.6291, 0.5976)  2 Si 2.41-2.47, 1 Mg 2.66
Mg (0.7196, 0.8962, 0.3859)  5 Si 2.72-2.81, 2 Mg 3.03-3.04
Mg (0.0978, 0.4913, 0.2429)  4 Si 2.66-2.92
Mg (0.9022, 0.5087, 0.7571)  4 Si 2.66-2.92
Mg (0.2804, 0.1038, 0.6141)  5 Si 2.72-2.81, 2 Mg 3.03-3.04
Si (0.7575, 0.9865, 0.7755)  1 Si 2.47, 1 Mg 2.77

***

## MgSi2 (GGA-PBE)

Data for crystalline MgSi2 at its relaxed geometry.

Results
Total moment ... 0.00 μB per formula unit
Energy above the most stable polymorph in this dataset ... 137 meV/atom
Space-group type ... P2_1/m
Density ... 2.57 g/cm³
Formation energy (no corrections) ... 0.161 eV per atom

Cell lengths 3.4782, 4.6186, 6.5624 Å; angles 80.69, 90.00, 90.00 degrees
Closest atoms and distances in Å follow each position.
Positions (direct):
Mg (0.7500, 0.4062, 0.7060)  9 Si 2.75-2.99
Si (0.7500, 0.8471, 0.9429)  4 Si 2.43-2.66
Si (0.2500, 0.9075, 0.6320)  4 Si 2.51-2.66
Mg (0.2500, 0.5938, 0.2940)  9 Si 2.75-2.99
Si (0.2500, 0.1529, 0.0571)  4 Si 2.43-2.66
Si (0.7500, 0.0925, 0.3680)  4 Si 2.51-2.66

***

## MgSi2 (GGA-PBE)

Data for crystalline MgSi2 at its relaxed geometry.

Results
Total moment ... 0.00 μB per formula unit
Energy above the most stable polymorph in this dataset ... 98 meV/atom
Space-group type ... P1
Density ... 2.32 g/cm³
Formation energy (no corrections) ... 0.122 eV per atom

Cell lengths 5.9517, 6.9661, 11.4545 Å; angles 79.16, 84.72, 82.41 degrees
Closest atoms and distances in Å follow each position.
Positions (direct):
Si (0.6144, 0.9976, 0.5481)  3 Si 2.42-2.53
Si (0.0070, 0.4993, 0.9872)  4 Si 2.42-2.48
Si (0.6278, 0.3430, 0.5470)  3 Si 2.40-2.44
Mg (0.3020, 0.1621, 0.1745)  5 Si 2.71-2.92, 2 Mg 2.97-3.02
Si (0.7933, 0.9897, 0.1097)  3 Si 2.38-2.42
Si (0.0352, 0.5507, 0.6687)  3 Si 2.35-2.42
Si (0.4713, 0.8327, 0.0880)  3 Si 2.35-2.42
Mg (0.1296, 0.7732, 0.2525)  5 Si 2.65-2.84
Si (0.0221, 0.2694, 0.5849)  2 Si 2.35-2.40
Mg (0.6815, 0.7221, 0.7906)  4 Si 2.68-2.85, 1 Mg 2.99
Mg (0.2157, 0.9031, 0.6803)  6 Si 2.73-2.94
Si (0.6695, 0.3206, 0.0138)  4 Si 2.41-2.47
Si (0.3246, 0.9469, 0.4114)  2 Si 2.46-2.53, 1 Mg 2.73
Mg (0.6686, 0.6616, 0.3709)  5 Si 2.72-2.91
Mg (0.2902, 0.3542, 0.3904)  5 Si 2.64-2.95
Mg (0.7367, 0.1467, 0.7722)  6 Si 2.69-2.97, 1 Mg 2.99
Si (0.9667, 0.4647, 0.2020)  2 Si 2.42-2.46, 2 Mg 2.65-2.67
Si (0.9760, 0.7996, 0.4920)  3 Si 2.42-2.50
Si (0.9636, 0.8625, 0.9358)  3 Si 2.40-2.47
Si (0.5566, 0.4906, 0.1797)  3 Si 2.42-2.46
Mg (0.8216, 0.1362, 0.3284)  4 Si 2.67-2.90
Si (0.3390, 0.9611, 0.8982)  3 Si 2.35-2.46
Si (0.4239, 0.5001, 0.7048)  3 Si 2.36-2.44
Si (0.3432, 0.3126, 0.8997)  4 Si 2.41-2.48

***

## MgSi2 (GGA-PBE)

Data for crystalline MgSi2 at its relaxed geometry.

Results
Total moment ... 0.00 μB per formula unit
Energy above the most stable polymorph in this dataset ... 88 meV/atom
Space-group type ... Pm
Density ... 2.38 g/cm³
Formation energy (no corrections) ... 0.112 eV per atom

Cell lengths 3.7038, 6.5530, 9.5589 Å; angles 75.13, 90.00, 90.00 degrees
Closest atoms and distances in Å follow each position.
Positions (direct):
Si (0.5000, 0.1610, 0.6242)  3 Si 2.40
Si (0.5000, 0.8373, 0.0155)  3 Si 2.41-2.58
Si (0.5000, 0.3756, 0.3795)  3 Si 2.38-2.40
Si (0.5000, 0.4848, 0.9428)  3 Si 2.39-2.58
Si (0.0000, 0.9358, 0.6076)  3 Si 2.39-2.40
Mg (0.0000, 0.3188, 0.1707)  6 Si 2.82-3.09
Si (0.0000, 0.7089, 0.8476)  3 Si 2.39
Mg (0.0000, 0.1596, 0.8569)  9 Si 2.89-3.10
Mg (0.5000, 0.9604, 0.3723)  8 Si 2.74-3.02
Si (0.0000, 0.6008, 0.3853)  3 Si 2.38-2.43
Si (0.0000, 0.8858, 0.1647)  3 Si 2.41-2.43
Mg (0.5000, 0.5708, 0.6334)  7 Si 2.71-3.02

***

## MgSi2 (GGA-PBE)

Data for crystalline MgSi2 at its relaxed geometry.

Results
Total moment ... 0.00 μB per formula unit
Energy above the most stable polymorph in this dataset ... 118 meV/atom
Space-group type ... P1
Density ... 2.54 g/cm³
Formation energy (no corrections) ... 0.142 eV per atom

Cell lengths 4.4908, 5.7017, 9.9709 Å; angles 99.73, 106.60, 114.49 degrees
Closest atoms and distances in Å follow each position.
Positions (direct):
Si (0.8200, 0.6638, 0.5221)  4 Si 2.46-2.51
Mg (0.5368, 0.0947, 0.5815)  7 Si 2.80-3.13
Si (0.0196, 0.8323, 0.9613)  5 Si 2.43-2.72
Si (0.8552, 0.9596, 0.3643)  3 Si 2.43-2.53
Si (0.7354, 0.3302, 0.9032)  4 Si 2.48-2.59
Mg (0.3031, 0.6038, 0.7769)  7 Si 2.69-3.01
Si (0.6227, 0.8773, 0.0885)  4 Si 2.44-2.53
Si (0.0783, 0.0312, 0.7665)  4 Si 2.43-2.72
Mg (0.4082, 0.1903, 0.2716)  7 Si 2.68-2.99
Si (0.1921, 0.4500, 0.4891)  3 Si 2.43-2.50, 1 Mg 2.69
Si (0.3545, 0.3873, 0.0447)  5 Si 2.44-2.72, 1 Mg 2.68
Mg (0.0749, 0.5795, 0.2305)  6 Si 2.77-3.00, 2 Mg 3.06-3.09